[1]
Below is crystalline Cs3As2Se4 at its relaxed geometry, with properties calculated at the PBE level.

Computed properties:
Calculated total energy ... -3.568 eV per atom
M_tot ... 0.000 μB per formula unit
Density of states at the Fermi level ... 0.260 states/eV per atom
Uncorrected formation energy ... -67.7 kJ/mol of atoms

```
Cs3As2Se4
1.0
7.175 -6.700 0.000
7.175 6.700 0.000
-0.378 0.000 7.668
Cs As Se
6 4 8
Direct
0.108 0.892 0.750
0.244 0.498 0.428
0.498 0.244 0.928
0.502 0.756 0.072
0.756 0.502 0.572
0.892 0.108 0.250
0.078 0.322 0.923
0.322 0.078 0.423
0.678 0.922 0.577
0.922 0.678 0.077
0.056 0.256 0.627
0.196 0.525 0.942
0.256 0.056 0.127
0.475 0.804 0.558
0.525 0.196 0.442
0.744 0.944 0.873
0.804 0.475 0.058
0.944 0.744 0.373
```

***

[2]
Below is crystalline CsAsSe2 at its relaxed geometry, with properties calculated at the PBE level.

Computed properties:
Calculated total energy ... -3.766 eV per atom
M_tot ... 0.000 μB per formula unit
Density of states at the Fermi level ... 0.000 states/eV per atom
Uncorrected formation energy ... -62.5 kJ/mol of atoms

```
CsAsSe2
1.0
7.276 0.000 0.000
0.000 15.563 0.000
-4.645 0.000 10.481
Cs As Se
8 8 16
Direct
0.187 0.204 0.042
0.187 0.296 0.542
0.291 0.602 0.064
0.291 0.898 0.564
0.709 0.102 0.436
0.709 0.398 0.936
0.813 0.704 0.458
0.813 0.796 0.958
0.041 0.511 0.331
0.041 0.989 0.831
0.413 0.564 0.657
0.413 0.936 0.157
0.587 0.064 0.843
0.587 0.436 0.343
0.959 0.011 0.169
0.959 0.489 0.669
0.157 0.090 0.350
0.157 0.410 0.850
0.224 0.098 0.755
0.224 0.402 0.255
0.304 0.620 0.435
0.304 0.880 0.935
0.321 0.679 0.755
0.321 0.821 0.255
0.679 0.179 0.745
0.679 0.321 0.245
0.696 0.120 0.065
0.696 0.380 0.565
0.776 0.598 0.745
0.776 0.902 0.245
0.843 0.590 0.150
0.843 0.910 0.650
```

***

[3]
Below is crystalline Cs7AsSe6 at its relaxed geometry, with properties calculated at the PBE level.

Computed properties:
Calculated total energy ... -3.173 eV per atom
M_tot ... 0.143 μB per formula unit
Uncorrected formation energy ... -88.8 kJ/mol of atoms

```
Cs7AsSe6
1.0
-4.573 8.074 9.361
4.573 -8.074 9.361
4.573 8.074 -9.361
Cs As Se
14 2 12
Direct
0.030 0.233 0.264
0.096 0.537 0.877
0.160 0.037 0.441
0.250 0.250 0.000
0.340 0.781 0.877
0.404 0.281 0.441
0.470 0.733 0.203
0.530 0.267 0.797
0.596 0.719 0.559
0.660 0.219 0.123
0.750 0.750 0.000
0.840 0.963 0.559
0.904 0.463 0.123
0.970 0.767 0.736
0.250 0.750 0.500
0.750 0.250 0.500
0.095 0.834 0.567
0.166 0.937 0.103
0.233 0.666 0.261
0.267 0.528 0.433
0.334 0.437 0.770
0.405 0.972 0.739
0.595 0.028 0.261
0.666 0.563 0.230
0.733 0.472 0.567
0.767 0.334 0.739
0.834 0.063 0.897
0.905 0.166 0.433
```